An optimized crystal structure of Na2CoNiF6, computed with PBE with a Hubbard U.

Summary:
final energy = -4.565 eV per atom
magnetization = 5.00 μB/f.u.

Cell: 5.4490 5.6308 9.5128 Å, 90.00 124.85 90.00°
Positions (direct):
1 Na 0.2355 0.0572 0.2492
2 Na 0.2355 0.4428 0.7492
3 Na 0.7645 0.5572 0.2508
4 Na 0.7645 0.9428 0.7508
5 Co 0.0000 0.0000 0.5000
6 Co 0.0000 0.5000 0.0000
7 Ni 0.5000 0.0000 0.0000
8 Ni 0.5000 0.5000 0.5000
9 F 0.1435 0.1977 0.9456
10 F 0.1435 0.3023 0.4456
11 F 0.2505 0.7016 0.9449
12 F 0.2505 0.7984 0.4449
13 F 0.3579 0.0389 0.7520
14 F 0.3579 0.4611 0.2520
15 F 0.6421 0.5389 0.7480
16 F 0.6421 0.9611 0.2480
17 F 0.7495 0.2016 0.5551
18 F 0.7495 0.2984 0.0551
19 F 0.8565 0.6977 0.5544
20 F 0.8565 0.8023 0.0544